VASP calculation (GGA-PBE) on an optimized crystal structure of HfMg2GeB.

- Calculated total energy: -19.26 eV per cell
- Formation enthalpy at 0 K: 1.04 eV/atom
- Crystal system: tetragonal

a = 4.7077 Å, b = 4.7077 Å, c = 5.1151 Å
α = 90.00°, β = 90.00°, γ = 90.00°
With the nearest neighbours (Å) after each atom.
Positions (direct):
Hf 0.0000 0.0000 0.0000  2 Ge 2.56
Mg 0.0000 0.5000 0.5000  2 Ge 2.35
Mg 0.5000 0.0000 0.5000  2 Ge 2.35
Ge 0.0000 0.0000 0.5000  4 Mg 2.35, 2 Hf 2.56
B 0.5000 0.5000 0.0000  4 Hf 3.33, 8 Mg 3.48



VASP calculation (GGA-PBE) on an optimized crystal structure of LaPr6DyEr2.

- Calculated total energy: -92.45 eV per cell
- Formation enthalpy at 0 K: 0.11 eV/atom
- Crystal system: monoclinic

a = 9.0065 Å, b = 9.0065 Å, c = 9.8423 Å
α = 94.32°, β = 94.32°, γ = 117.40°
With the nearest neighbours (Å) after each atom.
Positions (direct):
La 0.0941 0.9059 0.7500  6 Pr 3.51-3.63, 2 Er 3.63
La 0.9059 0.0941 0.2500  6 Pr 3.51-3.63, 2 Er 3.63
Pr 0.0093 0.7964 0.3795  3 Pr 3.31-3.47, 3 Er 3.36-3.52, 2 La 3.51-3.63
Pr 0.0661 0.5160 0.1832  2 Pr 3.31-3.66, 1 La 3.53, 1 Er 3.54, 1 Dy 3.58
Pr 0.2036 0.9907 0.1205  3 Pr 3.31-3.47, 3 Er 3.36-3.52, 2 La 3.51-3.63
Pr 0.2607 0.6085 0.5551  7 Pr 3.47-3.89, 2 Er 3.48-3.85, 2 Dy 3.69-3.85
Pr 0.3915 0.7393 0.9449  7 Pr 3.47-3.89, 2 Er 3.48-3.85, 2 Dy 3.69-3.85
Pr 0.4840 0.9339 0.3168  2 Pr 3.31-3.66, 1 La 3.53, 1 Er 3.54, 1 Dy 3.58
Pr 0.5160 0.0661 0.6832  2 Pr 3.31-3.66, 1 La 3.53, 1 Er 3.54, 1 Dy 3.58
Pr 0.6085 0.2607 0.0551  7 Pr 3.47-3.89, 2 Er 3.48-3.85, 2 Dy 3.69-3.85
Pr 0.7393 0.3915 0.4449  7 Pr 3.47-3.89, 2 Er 3.48-3.85, 2 Dy 3.69-3.85
Pr 0.7964 0.0093 0.8795  3 Pr 3.31-3.47, 3 Er 3.36-3.52, 2 La 3.51-3.63
Pr 0.9339 0.4840 0.8168  2 Pr 3.31-3.66, 1 La 3.53, 1 Er 3.54, 1 Dy 3.58
Pr 0.9907 0.2036 0.6205  3 Pr 3.31-3.47, 3 Er 3.36-3.52, 2 La 3.51-3.63
Dy 0.4696 0.5304 0.2500  4 Er 3.44, 6 Pr 3.58-3.85
Dy 0.5304 0.4696 0.7500  4 Er 3.44, 6 Pr 3.58-3.85
Er 0.2111 0.3058 0.9530  6 Pr 3.36-3.76, 2 Dy 3.44, 1 La 3.63
Er 0.3058 0.2111 0.4530  6 Pr 3.36-3.76, 2 Dy 3.44, 1 La 3.63
Er 0.6942 0.7889 0.5470  6 Pr 3.36-3.76, 2 Dy 3.44, 1 La 3.63
Er 0.7889 0.6942 0.0470  6 Pr 3.36-3.76, 2 Dy 3.44, 1 La 3.63



VASP calculation (GGA-PBE) on an optimized crystal structure of AlAgPt6.

- Calculated total energy: -45.43 eV per cell
- Formation enthalpy at 0 K: -0.32 eV/atom
- Crystal system: tetragonal

a = 3.9883 Å, b = 3.9883 Å, c = 7.8234 Å
α = 90.00°, β = 90.00°, γ = 90.00°
With the nearest neighbours (Å) after each atom.
Positions (direct):
Al 0.0000 0.0000 0.0000  12 Pt 2.74-2.82
Ag 0.0000 0.0000 0.5000  12 Pt 2.82-2.85
Pt 0.0000 0.5000 0.2394  8 Pt 2.74-2.85, 2 Al 2.74, 2 Ag 2.85
Pt 0.0000 0.5000 0.7606  8 Pt 2.74-2.85, 2 Al 2.74, 2 Ag 2.85
Pt 0.5000 0.0000 0.2394  8 Pt 2.74-2.85, 2 Al 2.74, 2 Ag 2.85
Pt 0.5000 0.0000 0.7606  8 Pt 2.74-2.85, 2 Al 2.74, 2 Ag 2.85
Pt 0.5000 0.5000 0.0000  8 Pt 2.74, 4 Al 2.82
Pt 0.5000 0.5000 0.5000  4 Ag 2.82, 8 Pt 2.85



VASP calculation (GGA-PBE) on an optimized crystal structure of ZnIn2AuBr.

- Calculated total energy: -12.91 eV per cell
- Crystal system: tetragonal
- ΔE_f (raw): -1.21 eV/f.u.

a = 5.4210 Å, b = 5.4210 Å, c = 4.9619 Å
α = 90.00°, β = 90.00°, γ = 90.00°
With the nearest neighbours (Å) after each atom.
Positions (direct):
Zn 0.0000 0.0000 0.0000  2 Au 2.48
In 0.0000 0.5000 0.5000  2 Au 2.71
In 0.5000 0.0000 0.5000  2 Au 2.71
Au 0.0000 0.0000 0.5000  2 Zn 2.48, 4 In 2.71
Br 0.5000 0.5000 0.0000  8 In 3.67, 4 Zn 3.83



VASP calculation (GGA-PBE) on an optimized crystal structure of CsSb2Pt.

- Distance to the lowest polymorph of the same formula: 0.338 eV/atom
- Calculated total energy: -15.70 eV per cell
- Crystal system: tetragonal
- ΔE_f (raw): -0.56 eV/f.u.

a = 3.6829 Å, b = 3.6829 Å, c = 8.6002 Å
α = 90.00°, β = 90.00°, γ = 90.00°
With the nearest neighbours (Å) after each atom.
Positions (direct):
Cs 0.0000 0.0000 0.0000  4 Cs 3.68, 8 Sb 3.90
Sb 0.5000 0.5000 0.3371  1 Sb 2.80, 4 Pt 2.96
Sb 0.5000 0.5000 0.6629  1 Sb 2.80, 4 Pt 2.96
Pt 0.0000 0.0000 0.5000  8 Sb 2.96



VASP calculation (GGA-PBE) on an optimized crystal structure of Ba2NaMgW.

- Calculated total energy: -14.11 eV per cell
- Formation enthalpy at 0 K: 1.12 eV/atom
- Crystal system: tetragonal

a = 5.9970 Å, b = 5.9970 Å, c = 5.8854 Å
α = 90.00°, β = 90.00°, γ = 90.00°
With the nearest neighbours (Å) after each atom.
Positions (direct):
Ba 0.0000 0.5000 0.0000  2 W 3.00
Ba 0.5000 0.0000 0.0000  2 W 3.00
Na 0.0000 0.0000 0.5000  2 W 2.94
Mg 0.5000 0.5000 0.5000  8 Ba 4.20, 4 Na 4.24
W 0.0000 0.0000 0.0000  2 Na 2.94, 4 Ba 3.00



VASP calculation (GGA-PBE) on an optimized crystal structure of Nd2SnAs.

- Distance to the lowest polymorph of the same formula: 0.000 eV/atom
- Calculated total energy: -90.89 eV per cell
- Formation enthalpy at 0 K: -1.13 eV/atom
- Crystal system: orthorhombic

a = 4.4754 Å, b = 24.0061 Å, c = 4.3393 Å
α = 90.00°, β = 90.00°, γ = 90.00°
With the nearest neighbours (Å) after each atom.
Positions (direct):
Nd 0.0000 0.0686 0.2500  1 As 2.89, 4 Sn 3.17
Nd 0.0000 0.3112 0.2500  5 As 2.93-3.12
Nd 0.0000 0.6888 0.7500  5 As 2.93-3.12
Nd 0.0000 0.9314 0.7500  1 As 2.89, 4 Sn 3.17
Nd 0.5000 0.1888 0.7500  5 As 2.93-3.12
Nd 0.5000 0.4314 0.7500  1 As 2.89, 4 Sn 3.17
Nd 0.5000 0.5686 0.2500  1 As 2.89, 4 Sn 3.17
Nd 0.5000 0.8112 0.2500  5 As 2.93-3.12
Sn 0.0000 0.4557 0.2500  2 Sn 3.04, 4 Nd 3.17
Sn 0.0000 0.5443 0.7500  2 Sn 3.04, 4 Nd 3.17
Sn 0.5000 0.0443 0.7500  2 Sn 3.04, 4 Nd 3.17
Sn 0.5000 0.9557 0.2500  2 Sn 3.04, 4 Nd 3.17
As 0.0000 0.1891 0.2500  6 Nd 2.89-3.12
As 0.0000 0.8109 0.7500  6 Nd 2.89-3.12
As 0.5000 0.3109 0.7500  6 Nd 2.89-3.12
As 0.5000 0.6891 0.2500  6 Nd 2.89-3.12



VASP calculation (GGA-PBE) on an optimized crystal structure of TiMnV4.

- Distance to the lowest polymorph of the same formula: 0.000 eV/atom
- Calculated total energy: -107.96 eV per cell
- Formation enthalpy at 0 K: -0.07 eV/atom
- Crystal system: monoclinic

a = 8.9320 Å, b = 4.2880 Å, c = 5.0167 Å
α = 90.00°, β = 123.12°, γ = 90.00°
With the nearest neighbours (Å) after each atom.
Positions (direct):
Ti 0.0000 0.0000 0.0000  2 Mn 2.51, 6 V 2.68-2.70
Ti 0.5000 0.5000 0.0000  2 Mn 2.51, 6 V 2.68-2.70
Mn 0.0000 0.0000 0.5000  6 V 2.50-2.58, 2 Ti 2.51
Mn 0.5000 0.5000 0.5000  6 V 2.50-2.58, 2 Ti 2.51
V 0.1548 0.5000 0.8181  5 V 2.52-2.73, 2 Mn 2.58, 1 Ti 2.70
V 0.1828 0.5000 0.3450  1 Mn 2.50, 5 V 2.52-2.66, 2 Ti 2.68
V 0.3172 0.0000 0.6550  1 Mn 2.50, 5 V 2.52-2.66, 2 Ti 2.68
V 0.3452 0.0000 0.1819  5 V 2.52-2.73, 2 Mn 2.58, 1 Ti 2.70
V 0.6548 0.0000 0.8181  5 V 2.52-2.73, 2 Mn 2.58, 1 Ti 2.70
V 0.6828 0.0000 0.3450  1 Mn 2.50, 5 V 2.52-2.66, 2 Ti 2.68
V 0.8172 0.5000 0.6550  1 Mn 2.50, 5 V 2.52-2.66, 2 Ti 2.68
V 0.8452 0.5000 0.1819  5 V 2.52-2.73, 2 Mn 2.58, 1 Ti 2.70



VASP calculation (GGA-PBE) on an optimized crystal structure of Ac2BeO5.

- Calculated total energy: -111.76 eV per cell
- Crystal system: tetragonal
- ΔE_f (raw): -19.14 eV/f.u.

a = 5.6075 Å, b = 5.6075 Å, c = 7.1783 Å
α = 90.00°, β = 90.00°, γ = 90.00°
With the nearest neighbours (Å) after each atom.
Positions (direct):
Ac 0.0000 0.5000 0.0000  10 O 2.57-2.80
Ac 0.0000 0.5000 0.5000  10 O 2.57-2.80
Ac 0.5000 0.0000 0.0000  10 O 2.57-2.80
Ac 0.5000 0.0000 0.5000  10 O 2.57-2.80
Be 0.0000 0.0000 0.2249  1 O 1.60
Be 0.5000 0.5000 0.7249  1 O 1.60
O 0.0000 0.0000 0.0023  1 Be 1.60
O 0.2228 0.2228 0.2738  1 Be 1.80
O 0.2228 0.7772 0.2738  1 Be 1.80
O 0.2772 0.2772 0.7738  1 Be 1.80
O 0.2772 0.7228 0.7738  1 Be 1.80
O 0.5000 0.5000 0.5023  1 Be 1.60
O 0.7228 0.2772 0.7738  1 Be 1.80
O 0.7228 0.7228 0.7738  1 Be 1.80
O 0.7772 0.2228 0.2738  1 Be 1.80
O 0.7772 0.7772 0.2738  1 Be 1.80



VASP calculation (GGA-PBE) on an optimized crystal structure of Ac2Al4Ir3Pt.

- Calculated total energy: -64.74 eV per cell
- Formation enthalpy at 0 K: -0.89 eV/atom
- Crystal system: tetragonal

a = 4.3218 Å, b = 4.3218 Å, c = 10.6890 Å
α = 90.00°, β = 90.00°, γ = 90.00°
With the nearest neighbours (Å) after each atom.
Positions (direct):
Ac 0.0000 0.5000 0.2483  6 Ir 3.31-3.42, 8 Al 3.34-3.45, 2 Pt 3.42
Ac 0.5000 0.0000 0.7517  6 Ir 3.31-3.42, 8 Al 3.34-3.45, 2 Pt 3.42
Al 0.0000 0.0000 0.5000  4 Ir 2.58
Al 0.0000 0.5000 0.8782  3 Ir 2.52-2.63, 2 Pt 2.52
Al 0.5000 0.0000 0.1218  3 Ir 2.52-2.63, 2 Pt 2.52
Al 0.5000 0.5000 0.5000  4 Ir 2.58
Ir 0.0000 0.0000 0.0000  4 Al 2.52
Ir 0.0000 0.5000 0.6321  5 Al 2.58-2.63
Ir 0.5000 0.0000 0.3679  5 Al 2.58-2.63
Pt 0.5000 0.5000 0.0000  4 Al 2.52